# 1
# Er3Tm4Ni2Se2 | OQMD via LeMat-Bulk | PBE-GGA | relaxed
# * total DFT energy (no corrections): -117.4 eV per cell
data_Er3Tm4Ni2Se2
_chemical_formula_sum 'Er6 Tm8 Ni4 Se4'
_symmetry_space_group_name_H-M 'I m m 2'
_symmetry_Int_Tables_number 44
_cell_length_a 3.7580
_cell_length_b 14.9347
_cell_length_c 9.2266
_cell_angle_alpha 90.00
_cell_angle_beta 90.00
_cell_angle_gamma 90.00
loop_
_symmetry_equiv_pos_as_xyz
'x,y,z'
'-x,-y,z'
'-x,y,z'
'x,-y,z'
'x+1/2,y+1/2,z+1/2'
'-x+1/2,-y+1/2,z+1/2'
'-x+1/2,y+1/2,z+1/2'
'x+1/2,-y+1/2,z+1/2'
loop_
_atom_site_label
_atom_site_type_symbol
_atom_site_fract_x
_atom_site_fract_y
_atom_site_fract_z
Er1 Er 0.0000 0.0000 0.0000
Er2 Er 0.0000 0.3142 0.3856
Tm1 Tm 0.0000 0.1251 0.5910
Tm2 Tm 0.0000 0.3609 0.7424
Ni1 Ni 0.0000 0.2396 0.0824
Se1 Se 0.0000 0.0000 0.3435
Se2 Se 0.0000 0.5000 0.2440

***

# 2
# TlB2Ir | OQMD via LeMat-Bulk | PBE-GGA | relaxed
# * total DFT energy (no corrections): -68.1 eV per cell
data_TlB2Ir
_chemical_formula_sum 'Tl4 B8 Ir4'
_symmetry_space_group_name_H-M 'F -4 3 m'
_symmetry_Int_Tables_number 216
_symmetry_space_group_name_Hall 'F -4 2 3'
_cell_length_a 6.1402
_cell_length_b 6.1402
_cell_length_c 6.1402
_cell_angle_alpha 90.00
_cell_angle_beta 90.00
_cell_angle_gamma 90.00
loop_
_atom_site_label
_atom_site_type_symbol
_atom_site_fract_x
_atom_site_fract_y
_atom_site_fract_z
Tl1 Tl 0.0000 0.0000 0.0000
B1 B 0.0000 0.0000 0.5000
B2 B 0.2500 0.2500 0.7500
Ir1 Ir 0.2500 0.2500 0.2500

***

# 3
# PmNi3 | OQMD via LeMat-Bulk | PBE-GGA | relaxed
# * formation enthalpy at 0 K: -0.201 eV per atom
data_PmNi3
_chemical_formula_sum 'Pm2 Ni6'
_symmetry_space_group_name_H-M 'P 63/m m c'
_symmetry_Int_Tables_number 194
_symmetry_space_group_name_Hall '-P 6c 2c'
_cell_length_a 5.8135
_cell_length_b 5.8135
_cell_length_c 4.2214
_cell_angle_alpha 90.00
_cell_angle_beta 90.00
_cell_angle_gamma 120.00
loop_
_atom_site_label
_atom_site_type_symbol
_atom_site_fract_x
_atom_site_fract_y
_atom_site_fract_z
Pm1 Pm 0.3333 0.6667 0.2500
Ni1 Ni 0.1402 0.2804 0.7500

***

# 4
# Er3Re5N12 | OQMD via LeMat-Bulk | PBE-GGA | relaxed
# * total DFT energy (no corrections): -1483.2 eV per cell
data_Er3Re5N12
_chemical_formula_sum 'Er24 Re40 N96'
_symmetry_space_group_name_H-M 'I a -3 d'
_symmetry_Int_Tables_number 230
_symmetry_space_group_name_Hall '-I 4bd 2c 3'
_cell_length_a 12.6227
_cell_length_b 12.6227
_cell_length_c 12.6227
_cell_angle_alpha 90.00
_cell_angle_beta 90.00
_cell_angle_gamma 90.00
loop_
_atom_site_label
_atom_site_type_symbol
_atom_site_fract_x
_atom_site_fract_y
_atom_site_fract_z
Er1 Er 0.0000 0.2500 0.1250
Re1 Re 0.0000 0.0000 0.0000
Re2 Re 0.0000 0.2500 0.3750
N1 N 0.0315 0.0516 0.6491

***

Number 1: size of the total moment 0.004 μB/f.u.. Number 2: size of the total moment 0.006 μB/f.u.. Number 3: size of the total moment 0.267 μB/f.u.. Number 4: size of the total moment 0.021 μB/f.u..